Record 1
This record from Alexandria via LeMat-Bulk describes V3CrN3 after structural relaxation. The functional is PBE.

```
V3CrN3
1.0
6.624 0.000 0.000
-3.312 5.737 0.000
0.000 0.000 4.012
V Cr N
6 2 6
Direct
0.166 0.332 0.250
0.166 0.834 0.250
0.332 0.166 0.750
0.668 0.834 0.250
0.834 0.166 0.750
0.834 0.668 0.750
0.333 0.667 0.750
0.667 0.333 0.250
0.174 0.348 0.750
0.174 0.826 0.750
0.348 0.174 0.250
0.652 0.826 0.750
0.826 0.174 0.250
0.826 0.652 0.250
```

## Properties
density	5.4	g/cm3
E	-9.67	eV per atom
magnetic moment	0.00	μB/cell
Fermi-level density of states	4.51	states/eV/f.u.

=====

Record 2
This record from Alexandria via LeMat-Bulk describes CdCoAg3 after structural relaxation. The functional is PBE.

```
CdCoAg3
1.0
4.818 0.000 0.000
0.000 4.818 0.000
0.000 0.000 4.818
Cd Co Ag
1 1 3
Direct
0.000 0.000 0.000
0.500 0.500 0.500
0.000 0.500 0.500
0.500 0.000 0.500
0.500 0.500 0.000
```

## Properties
density	7.3	g/cm3
magnetic moment	1.86	μB/cell
energy relative to the elements	0.804	eV per atom
Fermi-level density of states	7.70	states/eV/f.u.

=====

Record 3
This record from Alexandria via LeMat-Bulk describes SrCaPO2 after structural relaxation. The functional is PBE.

```
SrCaPO2
1.0
4.563 0.000 0.000
0.000 4.563 0.000
0.000 0.000 5.690
Sr Ca P O
1 1 1 2
Direct
0.000 0.000 0.000
0.500 0.500 0.500
0.000 0.000 0.500
0.000 0.500 0.000
0.500 0.000 0.000
```

## Properties
density	2.7	g/cm3
E	-4.44	eV per atom
magnetic moment	2.62	μB/cell
Fermi-level density of states	3.92	states/eV/f.u.

=====

Record 4
This record from Alexandria via LeMat-Bulk describes La4Pr2Nd5 after structural relaxation. The functional is PBE.

```
La4Pr2Nd5
1.0
9.129 -1.814 0.000
9.129 1.814 0.000
-0.965 0.000 12.020
La Pr Nd
4 2 5
Direct
0.036 0.036 0.263
0.359 0.359 0.201
0.641 0.641 0.799
0.964 0.964 0.737
0.284 0.284 0.642
0.716 0.716 0.358
0.096 0.096 0.541
0.178 0.178 0.072
0.500 0.500 0.000
0.822 0.822 0.928
0.904 0.904 0.459
```

## Properties
density	6.5	g/cm3
magnetic moment	0.00	μB/cell
energy relative to the elements	0.065	eV per atom
Fermi-level density of states	17.44	states/eV/f.u.

=====

Record 5
This record from Alexandria via LeMat-Bulk describes Ba2CaAs after structural relaxation. The functional is PBE.

```
Ba2CaAs
1.0
-2.073 2.911 6.980
2.073 -2.911 6.980
2.073 2.911 -6.980
Ba Ca As
2 1 1
Direct
0.000 0.000 0.000
0.671 0.171 0.500
0.331 0.831 0.500
0.484 0.484 0.000
```

## Properties
density	3.8	g/cm3
magnetic moment	0.62	μB/cell
energy relative to the elements	-0.584	eV per atom
Fermi-level density of states	3.08	states/eV/f.u.

=====

Record 6
This record from Alexandria via LeMat-Bulk describes KBa2TiAl after structural relaxation. The functional is PBE.

```
KBa2TiAl
1.0
6.520 0.000 0.000
0.000 6.520 0.000
0.000 0.000 6.348
K Ba Ti Al
1 2 1 1
Direct
0.000 0.000 0.000
0.000 0.500 0.500
0.500 0.000 0.500
0.500 0.500 0.000
0.000 0.000 0.500
```

## Properties
density	2.4	g/cm3
magnetic moment	0.53	μB/cell
energy relative to the elements	0.965	eV per atom
Fermi-level density of states	12.60	states/eV/f.u.

=====

Record 7
This record from Alexandria via LeMat-Bulk describes Pm6Tl2Ru after structural relaxation. The functional is PBE.

```
Pm6Tl2Ru
1.0
3.928 0.000 0.000
0.000 7.644 4.435
0.000 -7.644 4.435
Pm Tl Ru
6 2 1
Direct
0.000 0.000 0.000
0.000 0.519 0.755
0.000 0.755 0.519
0.500 0.151 0.757
0.500 0.360 0.360
0.500 0.757 0.151
0.000 0.089 0.425
0.000 0.425 0.089
0.500 0.766 0.766
```

## Properties
density	8.6	g/cm3
magnetic moment	0.00	μB/cell
energy relative to the elements	-0.276	eV per atom
Fermi-level density of states	10.38	states/eV/f.u.

=====

Record 8
This record from Alexandria via LeMat-Bulk describes SiHN2F after structural relaxation. The functional is PBE.

```
SiHN2F
1.0
3.124 0.000 0.000
0.000 3.124 0.000
0.000 0.000 3.928
Si H N F
1 1 2 1
Direct
0.000 0.000 0.000
0.500 0.500 0.500
0.000 0.500 0.500
0.500 0.000 0.500
0.500 0.500 0.000
```

## Properties
density	3.3	g/cm3
E	-4.22	eV per atom
magnetic moment	0.00	μB/cell
Fermi-level density of states	0.92	states/eV/f.u.